This record from Alexandria describes a relaxed structure of KScIrAu2. The functional is PBE.

Computed properties:
E_tot   -18.4 eV per cell
Energy of formation   425 kJ/mol of formula units
Crystal system   tetragonal
Symmetry   P4/mmm (123)

Unit cell a=5.1491 b=5.1136 c=5.1491 alpha=90.00 beta=90.00 gamma=90.00
Sites, in units of the cell vectors:
Sc 0.5000 0.5000 0.5000
Ir 0.0000 0.0000 0.0000
K 0.0000 0.5000 0.0000
Au 0.5000 0.0000 0.0000
Au 0.0000 0.0000 0.5000